## CoNi2Cl (GGA-PBEsol)

Data for crystalline CoNi2Cl at its relaxed geometry.

formation energy from raw total energies = 0.5515 eV per atom
raw total energy = -4.96 eV per atom

a b c (Å): 4.8716 7.1171 2.6894
angles (deg): 90.00 90.00 90.00
Space group Cmmm (No. 65)
Asymmetric unit:
Co (0.0000, 0.0000, 0.0000) [2 per cell]
Ni (0.2500, 0.2500, 0.5000) [4 per cell]
Cl (0.0000, 0.5000, 0.0000) [2 per cell]



## TbCuSb2 (GGA-PBEsol)

Data for crystalline TbCuSb2 at its relaxed geometry.

formation energy from raw total energies = -0.6673 eV per atom
raw total energy = -5.28 eV per atom

a b c (Å): 4.2589 4.2589 9.6625
angles (deg): 90.00 90.00 90.00
Space group P4/nmm (No. 129, origin choice 2)
Asymmetric unit:
Tb (0.2500, 0.2500, 0.2490) [2 per cell]
Cu (0.2500, 0.7500, 0.0000) [2 per cell]
Sb (0.2500, 0.2500, 0.8393) [2 per cell]
Sb (0.2500, 0.7500, 0.5000) [2 per cell]



## MgAs2Pb (GGA-PBEsol)

Data for crystalline MgAs2Pb at its relaxed geometry.

raw total energy = -3.95 eV per atom
formation energy from the elements = 0.029 eV/atom

a b c (Å): 4.9387 4.9387 3.5969
angles (deg): 90.00 90.00 90.00
Space group P4/mmm (No. 123)
Asymmetric unit:
Mg (0.0000, 0.0000, 0.0000) [1 per cell]
As (0.0000, 0.5000, 0.5000) [2 per cell]
Pb (0.5000, 0.5000, 0.0000) [1 per cell]



Summary of DOS at the Fermi energy in states/eV per atom
1.223; 0.305; 0.544
(order as listed above)
Summary of density in g cm⁻³
7.5; 8.8; 7.2
(order as listed above)